KZnIn3 (PBE, optimized geometry); SG = P6_3/mmc, No. 194; formation energy from the elements = 0.01 kJ/mol of atoms; distance to the lowest polymorph of the same formula = 0.45 eV per formula unit
1.0
7.3883 0.0000 0.0000
-3.6942 6.3985 0.0000
0.0000 0.0000 6.0544
K Zn In
2 2 6
direct
0.3333 0.6667 0.2500
0.6667 0.3333 0.7500
0.0000 0.0000 0.0000
0.0000 0.0000 0.5000
0.1866 0.3731 0.7500
0.1866 0.8134 0.7500
0.3731 0.1866 0.2500
0.6269 0.8134 0.7500
0.8134 0.1866 0.2500
0.8134 0.6269 0.2500

---

KZnIn2 (PBE, optimized geometry); SG = C2/m, No. 12; formation energy from the elements = 14.69 kJ/mol of atoms
1.0
6.4531 0.0000 0.0000
0.0000 11.3565 0.0000
-0.9855 0.0000 3.0969
K Zn In
2 2 4
direct
0.0000 0.0000 0.0000
0.5000 0.5000 0.0000
0.0000 0.5000 0.0000
0.5000 0.0000 0.0000
0.2500 0.2500 0.5000
0.2500 0.7500 0.5000
0.7500 0.2500 0.5000
0.7500 0.7500 0.5000

---

KZnIn2 (PBE, optimized geometry); SG = C2/m, No. 12; formation energy from the elements = 3.32 kJ/mol of atoms
1.0
12.5394 0.0000 0.0000
0.0000 3.5647 0.0000
-2.6542 0.0000 5.1357
K Zn In
2 2 4
direct
0.0000 0.0000 0.0000
0.5000 0.5000 0.0000
0.0000 0.5000 0.5000
0.5000 0.0000 0.5000
0.2073 0.0000 0.7067
0.2927 0.5000 0.2933
0.7073 0.5000 0.7067
0.7927 0.0000 0.2933

---

KZn2In (PBE, optimized geometry); SG = P4/mmm, No. 123; formation energy from the elements = 10.77 kJ/mol of atoms
1.0
3.7719 0.0000 0.0000
0.0000 3.7719 0.0000
0.0000 0.0000 7.6273
K Zn In
1 2 1
direct
0.0000 0.0000 0.0000
0.5000 0.5000 0.3135
0.5000 0.5000 0.6865
0.0000 0.0000 0.5000

---

KZnIn3 (PBE, optimized geometry); SG = Pm-3m, No. 221; formation energy from the elements = 91.25 kJ/mol of atoms; distance to the lowest polymorph of the same formula = 5.18 eV per formula unit
1.0
6.2994 0.0000 0.0000
0.0000 6.2994 0.0000
0.0000 0.0000 6.2994
K Zn In
1 1 3
direct
0.0000 0.0000 0.0000
0.5000 0.5000 0.5000
0.0000 0.0000 0.5000
0.0000 0.5000 0.0000
0.5000 0.0000 0.0000

---

KZn2In (PBE, optimized geometry); SG = P2_1/m, No. 11; formation energy from the elements = -2.68 kJ/mol of atoms
1.0
4.5019 0.0000 0.0000
0.0000 7.5342 0.0000
-2.2372 0.0000 6.9095
K Zn In
2 4 2
direct
0.0602 0.2500 0.1207
0.9398 0.7500 0.8793
0.2457 0.5802 0.4918
0.2457 0.9198 0.4918
0.7543 0.0802 0.5082
0.7543 0.4198 0.5082
0.3475 0.2500 0.6951
0.6525 0.7500 0.3049

---

K2Zn2In (PBE, optimized geometry); SG = I4/mmm, No. 139; formation energy from the elements = 30.24 kJ/mol of atoms; distance to the lowest polymorph of the same formula = 1.20 eV per formula unit
1.0
5.0838 0.0000 0.0000
0.0000 5.0838 0.0000
0.0000 0.0000 13.6296
K Zn In
4 4 2
direct
0.0000 0.5000 0.2500
0.0000 0.5000 0.7500
0.5000 0.0000 0.2500
0.5000 0.0000 0.7500
0.0000 0.0000 0.0894
0.0000 0.0000 0.9106
0.5000 0.5000 0.4106
0.5000 0.5000 0.5894
0.0000 0.0000 0.5000
0.5000 0.5000 0.0000

---

K2ZnIn (PBE, optimized geometry); SG = Cmmm, No. 65; formation energy from the elements = 15.29 kJ/mol of atoms
1.0
7.3714 0.0000 0.0000
0.0000 10.3768 0.0000
0.0000 0.0000 3.8310
K Zn In
4 2 2
direct
0.2500 0.2500 0.0000
0.2500 0.7500 0.0000
0.7500 0.2500 0.0000
0.7500 0.7500 0.0000
0.0000 0.0000 0.5000
0.5000 0.5000 0.5000
0.0000 0.5000 0.5000
0.5000 0.0000 0.5000

---

KZnIn6 (PBE, optimized geometry); SG = P4/mmm, No. 123; formation energy from the elements = -6.46 kJ/mol of atoms
1.0
5.0640 0.0000 0.0000
0.0000 5.0640 0.0000
0.0000 0.0000 9.0951
K Zn In
1 1 6
direct
0.0000 0.0000 0.0000
0.0000 0.0000 0.5000
0.0000 0.5000 0.3339
0.0000 0.5000 0.6661
0.5000 0.0000 0.3339
0.5000 0.0000 0.6661
0.5000 0.5000 0.1579
0.5000 0.5000 0.8421

---

K2ZnIn (PBE, optimized geometry); SG = Cmm2, No. 35; formation energy from the elements = 4.32 kJ/mol of atoms
1.0
5.5512 0.0000 0.0000
0.0000 5.5713 0.0000
0.0000 0.0000 10.1270
K Zn In
4 2 2
direct
0.0000 0.0000 0.0000
0.0000 0.5000 0.3933
0.5000 0.0000 0.3933
0.5000 0.5000 0.0000
0.0000 0.5000 0.7450
0.5000 0.0000 0.7450
0.0000 0.0000 0.6511
0.5000 0.5000 0.6511

---

K2ZnIn (PBE, optimized geometry); SG = F-43m, No. 216; formation energy from the elements = 11.53 kJ/mol of atoms
1.0
8.0413 0.0000 0.0000
0.0000 8.0413 0.0000
0.0000 0.0000 8.0413
K Zn In
8 4 4
direct
0.0000 0.0000 0.0000
0.0000 0.5000 0.5000
0.2500 0.2500 0.2500
0.2500 0.7500 0.7500
0.5000 0.0000 0.5000
0.5000 0.5000 0.0000
0.7500 0.2500 0.7500
0.7500 0.7500 0.2500
0.2500 0.2500 0.7500
0.2500 0.7500 0.2500
0.7500 0.2500 0.2500
0.7500 0.7500 0.7500
0.0000 0.0000 0.5000
0.0000 0.5000 0.0000
0.5000 0.0000 0.0000
0.5000 0.5000 0.5000

---

KZn2In8 (PBE, optimized geometry); SG = P4/mmm, No. 123; formation energy from the elements = 12.31 kJ/mol of atoms
1.0
6.3433 0.0000 0.0000
0.0000 6.3433 0.0000
0.0000 0.0000 9.5723
K Zn In
1 2 8
direct
0.0000 0.0000 0.0000
0.0000 0.5000 0.5000
0.5000 0.0000 0.5000
0.2517 0.2517 0.3154
0.2517 0.2517 0.6846
0.2517 0.7483 0.3154
0.2517 0.7483 0.6846
0.7483 0.2517 0.3154
0.7483 0.2517 0.6846
0.7483 0.7483 0.3154
0.7483 0.7483 0.6846